Record 1
Entry from OQMD via LeMat-Bulk: a geometry-optimized YGeAuS3 structure (PBE).

- total magnetization (μB/f.u.) = 0.01

a = 3.9849 Å, b = 13.8385 Å, c = 10.0804 Å
α = 90.00°, β = 90.00°, γ = 90.00°
Space group Cmcm (No. 63)
Asymmetric unit:
1 Y 0.0000 0.0000 0.0000
2 Ge 0.0000 0.3102 0.2500
3 Au 0.0000 0.3420 0.7500
4 S 0.0000 0.0744 0.7500
5 S 0.0000 0.3643 0.5194

***

Record 2
Entry from OQMD via LeMat-Bulk: a geometry-optimized ScGeAu structure (PBE).

- total magnetization (μB/f.u.) = 0.00

a = 6.9585 Å, b = 6.9585 Å, c = 3.9925 Å
α = 90.00°, β = 90.00°, γ = 120.00°
Space group P-62m (No. 189)
Asymmetric unit:
1 Sc 0.0000 0.5868 0.0000
2 Ge 0.0000 0.0000 0.0000
3 Ge 0.3333 0.6667 0.5000
4 Au 0.0000 0.2637 0.5000

***

Record 3
Entry from OQMD via LeMat-Bulk: a geometry-optimized ScGe2Au structure (PBE).

- total magnetization (μB/f.u.) = 0.00

a = 6.7556 Å, b = 6.7556 Å, c = 6.7556 Å
α = 90.00°, β = 90.00°, γ = 90.00°
Space group F-43m (No. 216)
Asymmetric unit:
1 Sc 0.0000 0.0000 0.0000
2 Ge 0.0000 0.0000 0.5000
3 Ge 0.2500 0.2500 0.7500
4 Au 0.2500 0.2500 0.2500

***

Record 4
Entry from OQMD via LeMat-Bulk: a geometry-optimized ScGeAu structure (PBE).

- total magnetization (μB/f.u.) = 0.00

a = 4.3712 Å, b = 4.3712 Å, c = 6.9047 Å
α = 90.00°, β = 90.00°, γ = 120.00°
Space group P6_3mc (No. 186)
Asymmetric unit:
1 Sc 0.0000 0.0000 0.0000
2 Ge 0.3333 0.6667 0.2010
3 Au 0.3333 0.6667 0.7992

***

Record 5
Entry from OQMD via LeMat-Bulk: a geometry-optimized ScGeAu structure (PBE).

- total magnetization (μB/f.u.) = 0.00

a = 7.0839 Å, b = 7.0839 Å, c = 3.9591 Å
α = 90.00°, β = 90.00°, γ = 120.00°
Space group P-62m (No. 189)
Asymmetric unit:
1 Sc 0.0000 0.6043 0.0000
2 Ge 0.0000 0.2693 0.5000
3 Au 0.0000 0.0000 0.0000
4 Au 0.3333 0.6667 0.5000

***

Record 6
Entry from OQMD via LeMat-Bulk: a geometry-optimized ScGeTe2AuSe structure (PBE).

- total magnetization (μB/f.u.) = 0.00

a = 4.0860 Å, b = 14.3302 Å, c = 10.0249 Å
α = 90.00°, β = 90.00°, γ = 90.00°
Space group Cmcm (No. 63)
Asymmetric unit:
1 Sc 0.0000 0.0000 0.0000
2 Ge 0.0000 0.2408 0.2500
3 Te 0.0000 0.3474 0.5524
4 Au 0.0000 0.4796 0.7500
5 Se 0.0000 0.0952 0.7500

***

The evaluated electronic total energy for the records listed, in turn: -5.359 -5.461 -4.949 -5.466 -5.346 -4.476 eV/atom.